No. 1
First-principles (PBE) data for Ba2MgAg3Bi4 after structural relaxation, as listed in Alexandria via LeMat-Bulk.

**Density**: 7.88 g/cm³
**Calculated formation energy**: -0.464 eV/atom

```
Ba2MgAg3Bi4
1.0
4.988 0.000 0.000
0.000 4.988 0.000
0.000 0.000 12.354
Ba Mg Ag Bi
2 1 3 4
direct
0.000 0.500 0.245
0.500 0.000 0.755
0.000 0.000 0.500
0.000 0.500 0.866
0.500 0.000 0.134
0.500 0.500 0.500
0.000 0.000 0.000
0.000 0.500 0.636
0.500 0.000 0.364
0.500 0.500 0.000
```

No. 2
First-principles (PBE) data for ErVRe after structural relaxation, as listed in Alexandria via LeMat-Bulk.

**Excess energy over the best structure of this formula in the dataset**: 0.014 eV/atom
**Density**: 12.07 g/cm³
**Calculated formation energy**: 0.070 eV/atom

```
ErVRe
1.0
1.691 -6.933 0.000
1.691 6.933 0.000
0.000 0.000 4.746
Er V Re
2 2 2
direct
0.078 0.922 0.750
0.922 0.078 0.250
0.244 0.756 0.250
0.756 0.244 0.750
0.380 0.620 0.750
0.620 0.380 0.250
```

No. 3
First-principles (PBE) data for CsK6Hg6 after structural relaxation, as listed in Alexandria via LeMat-Bulk.

**Density**: 4.92 g/cm³
**Calculated formation energy**: -0.171 eV/atom

```
CsK6Hg6
1.0
-3.493 5.986 6.336
3.493 -5.986 6.336
3.493 5.986 -6.336
Cs K Hg
1 6 6
direct
0.000 0.000 0.000
0.182 0.682 0.500
0.325 0.000 0.325
0.347 0.347 0.000
0.653 0.653 0.000
0.675 0.000 0.675
0.818 0.318 0.500
0.000 0.000 0.500
0.000 0.500 0.000
0.233 0.500 0.733
0.500 0.000 0.000
0.500 0.500 0.500
0.767 0.500 0.267
```

No. 4
First-principles (PBE) data for Zn2InSe after structural relaxation, as listed in Alexandria via LeMat-Bulk.

**Excess energy over the best structure of this formula in the dataset**: 0.000 eV/atom
**Formation energy (no corrections)**: -121 meV/atom
**Density**: 6.24 g/cm³

```
Zn2InSe
1.0
3.241 -1.854 0.000
3.241 1.854 0.000
-2.522 0.000 7.191
Zn In Se
2 1 1
direct
0.248 0.248 0.213
0.752 0.752 0.787
0.000 0.000 0.500
0.500 0.500 0.000
```

no.,total DFT energy (no corrections) (Ry per atom)
1,-0.251
2,-0.635
3,-0.065
4,-0.170